Entry one
A plane-wave DFT calculation with PBE was carried out for a relaxed structure of ZrSc2Ir.

Structure (CIF):
```
data_ZrSc2Ir
_symmetry_space_group_name_H-M 'P 1'
_symmetry_Int_Tables_number 1
_symmetry_space_group_name_Hall 'P 1'
_cell_length_a 6.650
_cell_length_b 8.732
_cell_length_c 5.968
_cell_angle_alpha 90.00
_cell_angle_beta 90.00
_cell_angle_gamma 90.00
loop_
_atom_site_label
_atom_site_type_symbol
_atom_site_fract_x
_atom_site_fract_y
_atom_site_fract_z
Zr1 Zr 0.024 0.250 0.112
Zr2 Zr 0.476 0.750 0.612
Zr3 Zr 0.524 0.250 0.388
Zr4 Zr 0.976 0.750 0.888
Sc1 Sc 0.181 0.057 0.676
Sc2 Sc 0.181 0.443 0.676
Sc3 Sc 0.319 0.557 0.176
Sc4 Sc 0.319 0.943 0.176
Sc5 Sc 0.681 0.057 0.824
Sc6 Sc 0.681 0.443 0.824
Sc7 Sc 0.819 0.557 0.324
Sc8 Sc 0.819 0.943 0.324
Ir1 Ir 0.111 0.750 0.460
Ir2 Ir 0.389 0.250 0.960
Ir3 Ir 0.611 0.750 0.040
Ir4 Ir 0.889 0.250 0.540
```

Values from the calculation:
**Size of the total moment**: 0.00 μB per cell
**Crystal system**: orthorhombic



Entry two
A plane-wave DFT calculation with PBE was carried out for a relaxed structure of ZrSc2Ir.

Structure (CIF):
```
data_ZrSc2Ir
_symmetry_space_group_name_H-M 'P 1'
_symmetry_Int_Tables_number 1
_symmetry_space_group_name_Hall 'P 1'
_cell_length_a 3.604
_cell_length_b 4.656
_cell_length_c 4.671
_cell_angle_alpha 90.00
_cell_angle_beta 90.00
_cell_angle_gamma 90.00
loop_
_atom_site_label
_atom_site_type_symbol
_atom_site_fract_x
_atom_site_fract_y
_atom_site_fract_z
Zr1 Zr 0.000 0.000 0.000
Sc1 Sc 0.000 0.500 0.500
Sc2 Sc 0.500 0.000 0.500
Ir1 Ir 0.500 0.500 0.000
```

Values from the calculation:
**Size of the total moment**: 0.01 μB per cell
**Crystal system**: orthorhombic



Entry three
A plane-wave DFT calculation with PBE was carried out for a relaxed structure of ZrSc2Ir.

Structure (CIF):
```
data_ZrSc2Ir
_symmetry_space_group_name_H-M 'P 1'
_symmetry_Int_Tables_number 1
_symmetry_space_group_name_Hall 'P 1'
_cell_length_a 4.831
_cell_length_b 4.831
_cell_length_c 3.301
_cell_angle_alpha 90.00
_cell_angle_beta 90.00
_cell_angle_gamma 90.00
loop_
_atom_site_label
_atom_site_type_symbol
_atom_site_fract_x
_atom_site_fract_y
_atom_site_fract_z
Zr1 Zr 0.000 0.000 0.000
Sc1 Sc 0.000 0.500 0.500
Sc2 Sc 0.500 0.000 0.500
Ir1 Ir 0.500 0.500 0.000
```

Values from the calculation:
**Size of the total moment**: 0.00 μB per cell
**Crystal system**: tetragonal



It is entry three that is the least stable of them.



Entry one
A plane-wave DFT calculation with PBE was carried out for a relaxed structure of ZrSc2Ir.

Structure (CIF):
```
data_ZrSc2Ir
_symmetry_space_group_name_H-M 'P 1'
_symmetry_Int_Tables_number 1
_symmetry_space_group_name_Hall 'P 1'
_cell_length_a 6.758
_cell_length_b 6.758
_cell_length_c 6.758
_cell_angle_alpha 90.00
_cell_angle_beta 90.00
_cell_angle_gamma 90.00
loop_
_atom_site_label
_atom_site_type_symbol
_atom_site_fract_x
_atom_site_fract_y
_atom_site_fract_z
Zr1 Zr 0.000 0.000 0.000
Zr2 Zr 0.000 0.500 0.500
Zr3 Zr 0.500 0.000 0.500
Zr4 Zr 0.500 0.500 0.000
Sc1 Sc 0.000 0.000 0.500
Sc2 Sc 0.000 0.500 0.000
Sc3 Sc 0.250 0.250 0.750
Sc4 Sc 0.250 0.750 0.250
Sc5 Sc 0.500 0.000 0.000
Sc6 Sc 0.500 0.500 0.500
Sc7 Sc 0.750 0.250 0.250
Sc8 Sc 0.750 0.750 0.750
Ir1 Ir 0.250 0.250 0.250
Ir2 Ir 0.250 0.750 0.750
Ir3 Ir 0.750 0.250 0.750
Ir4 Ir 0.750 0.750 0.250
```

Values from the calculation:
**Size of the total moment**: 3.60 μB per cell
**Crystal system**: cubic



Entry two
A plane-wave DFT calculation with PBE was carried out for a relaxed structure of ZrSc2Ir.

Structure (CIF):
```
data_ZrSc2Ir
_symmetry_space_group_name_H-M 'P 1'
_symmetry_Int_Tables_number 1
_symmetry_space_group_name_Hall 'P 1'
_cell_length_a 3.159
_cell_length_b 4.523
_cell_length_c 5.838
_cell_angle_alpha 90.00
_cell_angle_beta 105.60
_cell_angle_gamma 90.00
loop_
_atom_site_label
_atom_site_type_symbol
_atom_site_fract_x
_atom_site_fract_y
_atom_site_fract_z
Zr1 Zr 0.000 0.000 0.000
Sc1 Sc 0.404 0.500 0.723
Sc2 Sc 0.818 0.000 0.454
Ir1 Ir 0.407 0.500 0.220
```

Values from the calculation:
**Size of the total moment**: 0.00 μB per cell
**Crystal system**: monoclinic



Entry three
A plane-wave DFT calculation with PBE was carried out for a relaxed structure of ZrSc2Ir.

Structure (CIF):
```
data_ZrSc2Ir
_symmetry_space_group_name_H-M 'P 1'
_symmetry_Int_Tables_number 1
_symmetry_space_group_name_Hall 'P 1'
_cell_length_a 3.148
_cell_length_b 4.481
_cell_length_c 5.825
_cell_angle_alpha 90.00
_cell_angle_beta 104.94
_cell_angle_gamma 90.00
loop_
_atom_site_label
_atom_site_type_symbol
_atom_site_fract_x
_atom_site_fract_y
_atom_site_fract_z
Zr1 Zr 0.000 0.000 0.000
Sc1 Sc 0.406 0.500 0.729
Sc2 Sc 0.594 0.500 0.271
Ir1 Ir 0.000 0.000 0.500
```

Values from the calculation:
**Size of the total moment**: 0.00 μB per cell
**Crystal system**: monoclinic



Entry four
A plane-wave DFT calculation with PBE was carried out for a relaxed structure of ZrSc2Ir.

Structure (CIF):
```
data_ZrSc2Ir
_symmetry_space_group_name_H-M 'P 1'
_symmetry_Int_Tables_number 1
_symmetry_space_group_name_Hall 'P 1'
_cell_length_a 3.359
_cell_length_b 3.359
_cell_length_c 27.410
_cell_angle_alpha 90.00
_cell_angle_beta 90.00
_cell_angle_gamma 120.00
loop_
_atom_site_label
_atom_site_type_symbol
_atom_site_fract_x
_atom_site_fract_y
_atom_site_fract_z
Zr1 Zr 0.000 0.000 0.000
Zr2 Zr 0.333 0.667 0.667
Zr3 Zr 0.667 0.333 0.333
Sc1 Sc 0.000 0.000 0.531
Sc2 Sc 0.000 0.000 0.760
Sc3 Sc 0.333 0.667 0.198
Sc4 Sc 0.333 0.667 0.427
Sc5 Sc 0.667 0.333 0.094
Sc6 Sc 0.667 0.333 0.865
Ir1 Ir 0.000 0.000 0.264
Ir2 Ir 0.333 0.667 0.931
Ir3 Ir 0.667 0.333 0.598
```

Values from the calculation:
**Size of the total moment**: 0.00 μB per cell
**Crystal system**: trigonal



It is entry four that is the least stable of them.



Entry one
A plane-wave DFT calculation with PBE was carried out for a relaxed structure of ZrSc2Ir3.

Structure (CIF):
```
data_ZrSc2Ir3
_symmetry_space_group_name_H-M 'P 1'
_symmetry_Int_Tables_number 1
_symmetry_space_group_name_Hall 'P 1'
_cell_length_a 4.470
_cell_length_b 13.392
_cell_length_c 3.476
_cell_angle_alpha 90.00
_cell_angle_beta 90.00
_cell_angle_gamma 90.00
loop_
_atom_site_label
_atom_site_type_symbol
_atom_site_fract_x
_atom_site_fract_y
_atom_site_fract_z
Zr1 Zr 0.000 0.000 0.000
Zr2 Zr 0.500 0.500 0.000
Sc1 Sc 0.000 0.331 0.000
Sc2 Sc 0.000 0.669 0.000
Sc3 Sc 0.500 0.169 0.000
Sc4 Sc 0.500 0.831 0.000
Ir1 Ir 0.000 0.166 0.500
Ir2 Ir 0.000 0.500 0.500
Ir3 Ir 0.000 0.834 0.500
Ir4 Ir 0.500 0.000 0.500
Ir5 Ir 0.500 0.334 0.500
Ir6 Ir 0.500 0.666 0.500
```

Values from the calculation:
**Size of the total moment**: 0.00 μB per cell
**Crystal system**: orthorhombic



Entry two
A plane-wave DFT calculation with PBE was carried out for a relaxed structure of ZrSc2Ir3.

Structure (CIF):
```
data_ZrSc2Ir3
_symmetry_space_group_name_H-M 'P 1'
_symmetry_Int_Tables_number 1
_symmetry_space_group_name_Hall 'P 1'
_cell_length_a 3.153
_cell_length_b 3.153
_cell_length_c 10.397
_cell_angle_alpha 90.00
_cell_angle_beta 90.00
_cell_angle_gamma 90.00
loop_
_atom_site_label
_atom_site_type_symbol
_atom_site_fract_x
_atom_site_fract_y
_atom_site_fract_z
Zr1 Zr 0.000 0.000 0.000
Sc1 Sc 0.000 0.000 0.338
Sc2 Sc 0.000 0.000 0.662
Ir1 Ir 0.500 0.500 0.172
Ir2 Ir 0.500 0.500 0.500
Ir3 Ir 0.500 0.500 0.828
```

Values from the calculation:
**Size of the total moment**: 0.00 μB per cell
**Crystal system**: tetragonal



It is entry one that is the least stable of them.



Entry one
A plane-wave DFT calculation with PBE was carried out for a relaxed structure of ZrSc4Ir.

Structure (CIF):
```
data_ZrSc4Ir
_symmetry_space_group_name_H-M 'P 1'
_symmetry_Int_Tables_number 1
_symmetry_space_group_name_Hall 'P 1'
_cell_length_a 9.381
_cell_length_b 9.381
_cell_length_c 5.417
_cell_angle_alpha 96.18
_cell_angle_beta 96.18
_cell_angle_gamma 144.06
loop_
_atom_site_label
_atom_site_type_symbol
_atom_site_fract_x
_atom_site_fract_y
_atom_site_fract_z
Zr1 Zr 0.119 0.881 0.750
Zr2 Zr 0.881 0.119 0.250
Sc1 Sc 0.037 0.466 0.751
Sc2 Sc 0.232 0.329 0.884
Sc3 Sc 0.329 0.232 0.384
Sc4 Sc 0.466 0.037 0.251
Sc5 Sc 0.534 0.963 0.749
Sc6 Sc 0.671 0.768 0.616
Sc7 Sc 0.768 0.671 0.116
Sc8 Sc 0.963 0.534 0.249
Ir1 Ir 0.345 0.655 0.250
Ir2 Ir 0.655 0.345 0.750
```

Values from the calculation:
**Size of the total moment**: 0.00 μB per cell
**Crystal system**: monoclinic



Entry two
A plane-wave DFT calculation with PBE was carried out for a relaxed structure of ZrSc4Ir.

Structure (CIF):
```
data_ZrSc4Ir
_symmetry_space_group_name_H-M 'P 1'
_symmetry_Int_Tables_number 1
_symmetry_space_group_name_Hall 'P 1'
_cell_length_a 5.617
_cell_length_b 5.617
_cell_length_c 5.617
_cell_angle_alpha 60.00
_cell_angle_beta 60.00
_cell_angle_gamma 60.00
loop_
_atom_site_label
_atom_site_type_symbol
_atom_site_fract_x
_atom_site_fract_y
_atom_site_fract_z
Zr1 Zr 0.000 0.000 0.000
Sc1 Sc 0.375 0.375 0.375
Sc2 Sc 0.375 0.375 0.875
Sc3 Sc 0.375 0.875 0.375
Sc4 Sc 0.875 0.375 0.375
Ir1 Ir 0.750 0.750 0.750
```

Values from the calculation:
**Size of the total moment**: 0.00 μB per cell
**Crystal system**: cubic



It is entry two that is the least stable of them.



Entry one
A plane-wave DFT calculation with PBE was carried out for a relaxed structure of Zr3ScIr.

Structure (CIF):
```
data_Zr3ScIr
_symmetry_space_group_name_H-M 'P 1'
_symmetry_Int_Tables_number 1
_symmetry_space_group_name_Hall 'P 1'
_cell_length_a 4.857
_cell_length_b 4.857
_cell_length_c 4.857
_cell_angle_alpha 90.00
_cell_angle_beta 90.00
_cell_angle_gamma 90.00
loop_
_atom_site_label
_atom_site_type_symbol
_atom_site_fract_x
_atom_site_fract_y
_atom_site_fract_z
Zr1 Zr 0.000 0.000 0.500
Zr2 Zr 0.000 0.500 0.000
Zr3 Zr 0.500 0.000 0.000
Sc1 Sc 0.000 0.000 0.000
Ir1 Ir 0.500 0.500 0.500
```

Values from the calculation:
**Size of the total moment**: 0.00 μB per cell
**Crystal system**: cubic



Entry two
A plane-wave DFT calculation with PBE was carried out for a relaxed structure of Zr3ScIr.

Structure (CIF):
```
data_Zr3ScIr
_symmetry_space_group_name_H-M 'P 1'
_symmetry_Int_Tables_number 1
_symmetry_space_group_name_Hall 'P 1'
_cell_length_a 5.091
_cell_length_b 5.091
_cell_length_c 5.091
_cell_angle_alpha 90.00
_cell_angle_beta 90.00
_cell_angle_gamma 90.00
loop_
_atom_site_label
_atom_site_type_symbol
_atom_site_fract_x
_atom_site_fract_y
_atom_site_fract_z
Zr1 Zr 0.000 0.000 0.500
Zr2 Zr 0.000 0.500 0.000
Zr3 Zr 0.500 0.000 0.000
Sc1 Sc 0.500 0.500 0.500
Ir1 Ir 0.000 0.000 0.000
```

Values from the calculation:
**Size of the total moment**: 0.00 μB per cell
**Crystal system**: cubic



It is entry one that is the least stable of them.